DFT (PBE) results for crystalline GdTl2Pt at its relaxed geometry.

```
data_GdTl2Pt
_chemical_formula_sum 'Gd3 Tl6 Pt3'
_space_group_name_H-M_alt 'R -3 m'
_space_group_IT_number 166
_space_group_name_Hall '-R 3 2"'
_cell_length_a 3.5957
_cell_length_b 3.5957
_cell_length_c 30.4607
_cell_angle_alpha 90.00
_cell_angle_beta 90.00
_cell_angle_gamma 120.00
loop_
_atom_site_label
_atom_site_fract_x
_atom_site_fract_y
_atom_site_fract_z
Gd1 0.0000 0.0000 0.0000
Tl1 0.0000 0.0000 0.1034
Pt1 0.0000 0.0000 0.5000
```

Values from the calculation:
V: 341.1 Å³ per cell
ΔE_f: 0.13 eV/atom
Magnetization: 1.88 μB/atom